A relaxed TbThPb crystal, computed with GGA-PBE.

Output
V = 31.08 A^3/atom
energy above the lowest structure with this stoichiometry = 306 meV/atom
DOS at the Fermi energy = 3.54 states/eV/cell

a b c (Å): 5.4783 5.4783 3.5875
angles (deg): 90.00 90.00 120.00
Space group P3m1 (No. 156)
Symmetry-distinct sites (fractional):
Tb 0.0000 0.0000 0.0000
Th 0.3333 0.6667 0.5253
Pb 0.6667 0.3333 0.1941

=====

A relaxed Tb2ThPb crystal, computed with GGA-PBE.

Output
V = 29.49 A^3/atom
energy above the lowest structure with this stoichiometry = 0 meV/atom
DOS at the Fermi energy = 3.91 states/eV/cell

a b c (Å): 4.970 4.970 4.776
angles (deg): 90.00 90.00 90.00
Space group P4/mmm (No. 123)
Symmetry-distinct sites (fractional):
Tb 0.000 0.500 0.000
Th 0.000 0.000 0.500
Pb 0.500 0.500 0.500

=====

| no. | size of the total moment (μB/atom) |
| --- | --- |
| 1 | 0.0000 |
| 2 | 0.0000 |